Entry from Alexandria: a geometry-optimized Th2TlV structure (PBE).

Structure (POSCAR):
```
Th2TlV
1.0
-0.9294 -2.9174 -1.3393
-0.8494 -2.5533 1.9818
-11.3772 1.6684 0.0912
Tl Th V
1 2 1
Cartesian
-6.5780 -1.9012 0.3668
-8.7435 0.8156 0.1212
-4.4124 -4.6179 0.6125
0.0000 0.0000 0.0000
```

Symmetry: R-3m, No. 166



Entry from Alexandria: a geometry-optimized ThTlV structure (PBE).

Structure (POSCAR):
```
ThTlV
1.0
3.2446 -0.0026 -0.8061
0.0680 3.3476 0.2632
-3.4558 -1.0483 14.2212
V Th Tl
2 2 2
Cartesian
-1.0278 0.3564 6.4500
0.8847 1.9403 7.2283
0.1214 2.1993 4.1581
-0.2645 0.0973 9.5202
-1.2289 1.5574 12.6332
1.0858 0.7392 1.0450
```

Symmetry: P2_1/m, No. 11



Entry from Alexandria: a geometry-optimized Y4ThTl5 structure (PBE).

Structure (POSCAR):
```
Y4ThTl5
1.0
-2.6122 2.4072 0.6584
-1.2970 -2.1237 2.6191
12.5446 9.7514 14.1189
Y Th Tl
4 1 5
Cartesian
2.5669 1.9953 2.8890
5.0378 3.9160 5.6700
7.5068 5.8353 8.4489
9.9778 7.7561 11.2299
0.0000 0.0000 0.0000
-0.6115 1.1858 3.1504
1.8534 3.1018 5.9245
4.3177 5.0175 8.6982
6.7821 6.9331 11.4718
9.2469 8.8491 14.2459
```

Symmetry: P4/mmm, No. 123



Entry from Alexandria: a geometry-optimized Y3ThTl2 structure (PBE).

Structure (POSCAR):
```
Y3ThTl2
1.0
3.6513 0.0000 0.0000
0.0000 3.6513 0.0000
0.0000 0.0000 12.9930
Y Th Tl
3 1 2
Cartesian
0.0000 0.0000 0.0000
0.0000 0.0000 8.8671
0.0000 0.0000 4.1260
1.8257 1.8257 6.4965
1.8257 1.8257 10.9139
1.8257 1.8257 2.0791
```

Symmetry: P4/mmm, No. 123



Entry from Alexandria: a geometry-optimized Y2ThTl structure (PBE).

Structure (POSCAR):
```
Y2ThTl
1.0
3.5956 0.0000 0.0000
1.7978 3.1139 0.0000
1.7978 1.0380 10.8309
Y Tl Th
2 1 1
Cartesian
1.7978 1.0380 2.6118
5.3934 3.1139 8.2191
0.0000 0.0000 0.0000
3.5956 2.0759 5.4155
```

Symmetry: R-3m, No. 166



Entry from Alexandria: a geometry-optimized Y2ThTl structure (PBE).

Structure (POSCAR):
```
Y2ThTl
1.0
-1.1929 -3.2297 -1.0562
2.3460 -2.6060 -0.8216
0.2885 -5.3192 9.7919
Y Th Tl
2 1 1
Cartesian
0.3112 -4.5287 7.3477
0.3618 -2.7351 1.8148
0.7208 -5.5772 3.9553
0.7685 -3.8914 -1.2466
```

Symmetry: R3m, No. 160



Entry from Alexandria: a geometry-optimized Y2ThTl structure (PBE).

Structure (POSCAR):
```
Y2ThTl
1.0
3.6247 0.0000 0.0000
0.0000 3.6247 0.0000
0.0000 0.0000 8.9999
Y Tl Th
2 1 1
Cartesian
0.0000 0.0000 6.9031
0.0000 0.0000 2.0968
1.8123 1.8123 0.0000
1.8123 1.8123 4.5000
```

Symmetry: P4/mmm, No. 123



Entry from Alexandria: a geometry-optimized YTh2Tl3 structure (PBE).

Structure (POSCAR):
```
YTh2Tl3
1.0
-2.3001 2.0049 1.8638
-1.7694 -2.9464 0.9859
7.8435 -1.0819 10.8438
Y Th Tl
1 2 3
Cartesian
1.8870 -1.0117 6.8467
4.4721 -1.3682 10.4207
-0.6981 -0.6551 3.2727
0.0000 0.0000 0.0000
5.1672 -0.7127 7.1438
2.6763 -0.3691 3.7000
```

Symmetry: P4/mmm, No. 123



| no. | energy of formation from the pure elements (kJ/mol of formula units) |
| --- | --- |
| 1 | 215 |
| 2 | 38 |
| 3 | -315 |
| 4 | -150 |
| 5 | -57 |
| 6 | -38 |
| 7 | -78 |
| 8 | -127 |